Here is a relaxed structure of K2PaBiSe5 from the Alexandria database. Energies are from PBE.

Total energy in Ry/atom: -0.3470
Formation energy from raw total energies in eV per formula unit: -9.5

a = 4.3941 Å, b = 18.1088 Å, c = 15.3739 Å
α = 90.00°, β = 90.00°, γ = 90.00°
Closest atoms and distances in Å follow each position.
Space group Cmc2_1 (No. 36)
Inequivalent atoms, fractional coordinates:
K (0.0000, 0.0909, 0.0000)  6 Se 3.27-3.55
K (0.0000, 0.1405, 0.6383)  7 Se 3.31-3.66
Pa (0.0000, 0.2213, 0.3637)  6 Se 2.67-2.89
Bi (0.0000, 0.4668, 0.7743)  2 Se 2.64-2.93
Se (0.0000, 0.0706, 0.3958)  1 Pa 2.77, 2 Bi 2.96
Se (0.0000, 0.2711, 0.9790)  2 Pa 2.83
Se (0.0000, 0.3065, 0.7457)  2 Pa 2.89, 1 Bi 2.93
Se (0.0000, 0.3656, 0.3264)  1 Pa 2.67
Se (0.0000, 0.4940, 0.1089)  1 Bi 2.64